Entry 1:
VASP calculation (GGA-PBE) on LiYAl2 after structural relaxation.

Results
The value obtained for the formation energy is -23 kJ per mole of atoms. The volume is 81.2 Å³ per cell. Its crystal system is cubic. Its distance to the lowest polymorph of the same formula is 49 meV per atom.

Lattice parameters (Å, degrees): 4.861 4.861 4.861 60.00 60.00 60.00
Element x y z (fractional)
Y 0.500 0.500 0.500
Al 0.250 0.250 0.250
Al 0.750 0.750 0.750
Li 0.000 0.000 0.000

***

Entry 2:
VASP calculation (GGA-PBE) on LuZnAu after structural relaxation.

Results
The value obtained for the formation energy is -62 kJ per mole of atoms. The volume is 60.2 Å³ per cell. Its crystal system is hexagonal.

Lattice parameters (Å, degrees): 3.415 4.510 4.510 120.00 90.00 90.00
Element x y z (fractional)
Zn 0.167 0.000 0.000
Lu 0.667 0.667 0.333
Au 0.167 0.333 0.667

***

Entry 3:
VASP calculation (GGA-PBE) on ZrReSi after structural relaxation.

Results
As for the uncorrected formation energy: -0.33 eV/atom. The volume is 51.8 Å³ per cell. Its crystal system is hexagonal.

Lattice parameters (Å, degrees): 4.242 4.242 3.322 90.00 90.00 120.00
Element x y z (fractional)
Re 0.000 0.000 0.166
Si 0.667 0.333 0.167
Zr 0.333 0.667 0.667

***

Entry 4:
VASP calculation (GGA-PBE) on Sc2H2Au after structural relaxation.

Results
The calculated total energy is -5.28 eV/atom. The volume is 65.5 Å³ per cell. Its crystal system is tetragonal.

Lattice parameters (Å, degrees): 3.384 3.384 6.199 74.16 74.16 90.00
Element x y z (fractional)
Sc 0.350 0.350 0.300
Sc 0.650 0.650 0.700
H 0.750 0.250 0.500
H 0.250 0.750 0.500
Au 0.000 0.000 0.000